1.
A relaxed Pm2Sm4ErTh crystal. Source: Alexandria via LeMat-Bulk, functional GGA-PBE.

Unit cell a=6.0440 b=6.0450 c=7.2990 alpha=90.00 beta=90.06 gamma=90.00
Closest atoms and distances in Å follow each position.
Element x y z (fractional)
Pm (0.0000, 0.0000, 0.0000)  8 Sm 3.52, 2 Er 3.65
Pm (0.5000, 0.5000, 0.5000)  8 Sm 3.54, 2 Th 3.65
Sm (0.9999, 0.5000, 0.2476)  2 Th 3.52, 4 Pm 3.52-3.54, 2 Er 3.54, 2 Sm 3.61-3.68
Sm (0.0001, 0.5000, 0.7524)  2 Th 3.52, 4 Pm 3.52-3.54, 2 Er 3.54, 2 Sm 3.61-3.68
Sm (0.5000, 0.0000, 0.2473)  4 Pm 3.52-3.54, 2 Th 3.52, 2 Er 3.54, 2 Sm 3.61-3.69
Sm (0.5000, 0.0000, 0.7527)  4 Pm 3.52-3.54, 2 Th 3.52, 2 Er 3.54, 2 Sm 3.61-3.69
Er (0.0000, 0.0000, 0.5000)  8 Sm 3.54, 2 Pm 3.65
Th (0.5000, 0.5000, 0.0000)  8 Sm 3.52, 2 Pm 3.65

Calculated values
- V (A^3/atom) = 33.3
- space-group type = P2/m
- DFT total energy (eV/atom) = -4.907

=====

2.
A relaxed Cd6In12Pb crystal. Source: Alexandria via LeMat-Bulk, functional GGA-PBE.

Unit cell a=8.8020 b=8.8020 c=8.8020 alpha=109.47 beta=109.47 gamma=109.47
Closest atoms and distances in Å follow each position.
Element x y z (fractional)
Cd (0.1404, 0.5000, 0.6404)  1 Cd 2.85, 2 In 2.94
Cd (0.3596, 0.8596, 0.5000)  1 Cd 2.85, 2 In 2.94
Cd (0.5000, 0.3596, 0.8596)  1 Cd 2.85, 2 In 2.94
Cd (0.5000, 0.6404, 0.1404)  1 Cd 2.85, 2 In 2.94
Cd (0.6404, 0.1404, 0.5000)  1 Cd 2.85, 2 In 2.94
Cd (0.8596, 0.5000, 0.3596)  1 Cd 2.85, 2 In 2.94
In (0.0674, 0.2622, 0.8052)  1 Cd 2.94
In (0.1948, 0.4571, 0.2622)  1 Cd 2.94
In (0.1948, 0.9326, 0.7378)  1 Cd 2.94
In (0.2622, 0.1948, 0.4571)  1 Cd 2.94
In (0.2622, 0.8052, 0.0674)  1 Cd 2.94
In (0.4571, 0.2622, 0.1948)  1 Cd 2.94
In (0.5429, 0.7378, 0.8052)  1 Cd 2.94
In (0.7378, 0.1948, 0.9326)  1 Cd 2.94
In (0.7378, 0.8052, 0.5429)  1 Cd 2.94
In (0.8052, 0.0674, 0.2622)  1 Cd 2.94
In (0.8052, 0.5429, 0.7378)  1 Cd 2.94
In (0.9326, 0.7378, 0.1948)  1 Cd 2.94
Pb (0.0000, 0.0000, 0.0000)  12 In 3.32

Calculated values
- V (A^3/atom) = 27.6
- space-group type = Im-3
- DFT total energy (eV/atom) = -2.132

=====

3.
A relaxed Si2Ag2As crystal. Source: Alexandria via LeMat-Bulk, functional GGA-PBE.

Unit cell a=8.0122 b=8.0122 c=2.8141 alpha=90.00 beta=90.00 gamma=90.00
Closest atoms and distances in Å follow each position.
Element x y z (fractional)
Si (0.1829, 0.3171, 0.0000)  6 Ag 2.63-2.85, 2 Si 2.81, 2 As 2.93
Si (0.3171, 0.8171, 0.0000)  6 Ag 2.63-2.85, 2 Si 2.81, 2 As 2.93
Si (0.6829, 0.1829, 0.0000)  6 Ag 2.63-2.85, 2 Si 2.81, 2 As 2.93
Si (0.8171, 0.6829, 0.0000)  6 Ag 2.63-2.85, 2 Si 2.81, 2 As 2.93
Ag (0.1208, 0.6208, 0.5000)  6 Si 2.63-2.85, 3 Ag 2.74-2.81
Ag (0.3792, 0.1208, 0.5000)  6 Si 2.63-2.85, 3 Ag 2.74-2.81
Ag (0.6208, 0.8792, 0.5000)  6 Si 2.63-2.85, 3 Ag 2.74-2.81
Ag (0.8792, 0.3792, 0.5000)  6 Si 2.63-2.85, 3 Ag 2.74-2.81
As (0.0000, 0.0000, 0.0000)  2 As 2.81, 4 Si 2.93
As (0.5000, 0.5000, 0.0000)  2 As 2.81, 4 Si 2.93

Calculated values
- V (A^3/atom) = 18.1
- formation energy without anion corrections (kJ/mol of formula units) = 208
- space-group type = P4/mbm
- DFT total energy (eV/atom) = -3.808

=====

4.
A relaxed Cr2Pt2Rh15 crystal. Source: Alexandria via LeMat-Bulk, functional GGA-PBE.

Unit cell a=6.7255 b=6.7255 c=6.7255 alpha=80.48 beta=80.48 gamma=80.48
Closest atoms and distances in Å follow each position.
Element x y z (fractional)
Cr (0.0775, 0.0775, 0.0775)  1 Cr 2.08
Cr (0.9225, 0.9225, 0.9225)  1 Cr 2.08
Pt (0.2796, 0.2796, 0.2796)  1 Cr 2.72, 12 Rh 2.90-3.03
Pt (0.7204, 0.7204, 0.7204)  1 Cr 2.72, 12 Rh 2.90-3.03
Rh (0.0000, 0.0000, 0.5000)  8 Rh 2.51-2.65, 2 Cr 2.78
Rh (0.0000, 0.3237, 0.6763)  8 Rh 2.65-2.81
Rh (0.0000, 0.5000, 0.0000)  8 Rh 2.51-2.65, 2 Cr 2.78
Rh (0.0000, 0.6763, 0.3237)  8 Rh 2.65-2.81
Rh (0.1625, 0.6610, 0.6610)  8 Rh 2.50-2.70
Rh (0.3237, 0.0000, 0.6763)  8 Rh 2.65-2.81
Rh (0.3237, 0.6763, 0.0000)  8 Rh 2.65-2.81
Rh (0.3390, 0.3390, 0.8375)  8 Rh 2.50-2.70
Rh (0.3390, 0.8375, 0.3390)  8 Rh 2.50-2.70
Rh (0.5000, 0.0000, 0.0000)  8 Rh 2.51-2.65, 2 Cr 2.78
Rh (0.6610, 0.1625, 0.6610)  8 Rh 2.50-2.70
Rh (0.6610, 0.6610, 0.1625)  8 Rh 2.50-2.70
Rh (0.6763, 0.0000, 0.3237)  8 Rh 2.65-2.81
Rh (0.6763, 0.3237, 0.0000)  8 Rh 2.65-2.81
Rh (0.8375, 0.3390, 0.3390)  8 Rh 2.50-2.70

Calculated values
- V (A^3/atom) = 15.4
- space-group type = R-3m
- DFT total energy (eV/atom) = -7.110

=====

5.
A relaxed TbGa2Tc crystal. Source: Alexandria via LeMat-Bulk, functional GGA-PBE.

Unit cell a=3.1598 b=3.1598 c=26.5416 alpha=90.00 beta=90.00 gamma=120.00
Closest atoms and distances in Å follow each position.
Element x y z (fractional)
Tb (0.0000, 0.0000, 0.0000)  6 Ga 3.13, 6 Tb 3.16
Tb (0.3333, 0.6667, 0.6667)  6 Ga 3.13, 6 Tb 3.16
Tb (0.6667, 0.3333, 0.3333)  6 Ga 3.13, 6 Tb 3.16
Ga (0.0000, 0.0000, 0.2376)  3 Tc 2.62
Ga (0.0000, 0.0000, 0.7624)  3 Tc 2.62
Ga (0.3333, 0.6667, 0.4291)  3 Tc 2.62
Ga (0.3333, 0.6667, 0.9043)  3 Tc 2.62
Ga (0.6667, 0.3333, 0.0957)  3 Tc 2.62
Ga (0.6667, 0.3333, 0.5709)  3 Tc 2.62
Tc (0.0000, 0.0000, 0.5000)  6 Ga 2.62
Tc (0.3333, 0.6667, 0.1667)  6 Ga 2.62
Tc (0.6667, 0.3333, 0.8333)  6 Ga 2.62

Calculated values
- V (A^3/atom) = 19.1
- space-group type = R-3m
- DFT total energy (eV/atom) = -5.294
- ΔE to the lowest computed polymorph (meV per atom) = 256

=====

6.
A relaxed HoZr3Te6 crystal. Source: Alexandria via LeMat-Bulk, functional GGA-PBE.

Unit cell a=11.9278 b=4.0280 c=12.4859 alpha=90.00 beta=109.25 gamma=90.00
Closest atoms and distances in Å follow each position.
Element x y z (fractional)
Ho (0.0523, 0.2500, 0.1988)  8 Te 3.09-3.28
Ho (0.9477, 0.7500, 0.8012)  8 Te 3.09-3.28
Zr (0.1203, 0.2500, 0.5675)  6 Te 2.87-3.02
Zr (0.3190, 0.7500, 0.9869)  7 Te 2.89-3.09
Zr (0.4431, 0.2500, 0.3672)  5 Te 2.87-3.02
Zr (0.5569, 0.7500, 0.6328)  5 Te 2.87-3.02
Zr (0.6810, 0.2500, 0.0131)  7 Te 2.89-3.09
Zr (0.8797, 0.7500, 0.4325)  6 Te 2.87-3.02
Te (0.1062, 0.7500, 0.3975)  3 Zr 2.87-2.89, 2 Ho 3.09
Te (0.1210, 0.2500, 0.9710)  2 Zr 3.06, 3 Ho 3.15-3.21
Te (0.1883, 0.7500, 0.7463)  3 Zr 2.89-2.92, 1 Ho 3.16
Te (0.2752, 0.7500, 0.2173)  3 Zr 3.02-3.09, 2 Ho 3.28
Te (0.3752, 0.2500, 0.5725)  4 Zr 2.87-3.02
Te (0.4864, 0.2500, 0.1245)  4 Zr 2.96-3.24
Te (0.5136, 0.7500, 0.8755)  4 Zr 2.96-3.24
Te (0.6248, 0.7500, 0.4275)  4 Zr 2.87-3.02
Te (0.7248, 0.2500, 0.7827)  3 Zr 3.02-3.09, 2 Ho 3.28
Te (0.8117, 0.2500, 0.2537)  3 Zr 2.89-2.92, 1 Ho 3.16
Te (0.8790, 0.7500, 0.0290)  2 Zr 3.06, 3 Ho 3.15-3.21
Te (0.8938, 0.2500, 0.6025)  3 Zr 2.87-2.89, 2 Ho 3.09

Calculated values
- V (A^3/atom) = 28.3
- formation energy without anion corrections (kJ/mol of formula units) = -890
- space-group type = P2_1/m
- DFT total energy (eV/atom) = -5.830

=====

7.
A relaxed Li6Ag8Ge crystal. Source: Alexandria via LeMat-Bulk, functional GGA-PBE.

Unit cell a=6.8979 b=6.8979 c=6.8979 alpha=65.78 beta=65.78 gamma=65.78
Closest atoms and distances in Å follow each position.
Element x y z (fractional)
Li (0.0543, 0.3833, 0.7241)  1 Ge 2.62, 7 Ag 2.65-2.73
Li (0.2759, 0.9457, 0.6167)  1 Ge 2.62, 7 Ag 2.65-2.73
Li (0.3833, 0.7241, 0.0543)  1 Ge 2.62, 7 Ag 2.65-2.73
Li (0.6167, 0.2759, 0.9457)  1 Ge 2.62, 7 Ag 2.65-2.73
Li (0.7241, 0.0543, 0.3833)  1 Ge 2.62, 7 Ag 2.65-2.73
Li (0.9457, 0.6167, 0.2759)  1 Ge 2.62, 7 Ag 2.65-2.73
Ag (0.1164, 0.7833, 0.4437)  5 Li 2.65-2.73
Ag (0.2167, 0.5563, 0.8836)  5 Li 2.65-2.73
Ag (0.3315, 0.3315, 0.3315)  6 Li 2.65-2.67
Ag (0.4437, 0.1164, 0.7833)  5 Li 2.65-2.73
Ag (0.5563, 0.8836, 0.2167)  5 Li 2.65-2.73
Ag (0.6685, 0.6685, 0.6685)  6 Li 2.65-2.67
Ag (0.7833, 0.4437, 0.1164)  5 Li 2.65-2.73
Ag (0.8836, 0.2167, 0.5563)  5 Li 2.65-2.73
Ge (0.0000, 0.0000, 0.0000)  6 Li 2.62

Calculated values
- V (A^3/atom) = 17.4
- space-group type = R-3
- DFT total energy (eV/atom) = -2.622

=====

8.
A relaxed TcGeOs crystal. Source: Alexandria via LeMat-Bulk, functional GGA-PBE.

Unit cell a=2.9029 b=2.9029 c=12.0446 alpha=90.00 beta=90.00 gamma=120.00
Closest atoms and distances in Å follow each position.
Element x y z (fractional)
Tc (0.0000, 0.0000, 0.0000)  6 Os 2.69, 6 Tc 2.90
Tc (0.3333, 0.6667, 0.5000)  6 Ge 2.57
Ge (0.0000, 0.0000, 0.3384)  3 Tc 2.57, 3 Os 2.59
Ge (0.0000, 0.0000, 0.6616)  3 Tc 2.57, 3 Os 2.59
Os (0.3333, 0.6667, 0.1743)  3 Ge 2.59, 3 Tc 2.69
Os (0.3333, 0.6667, 0.8257)  3 Ge 2.59, 3 Tc 2.69

Calculated values
- V (A^3/atom) = 14.7
- space-group type = P-6m2
- DFT total energy (eV/atom) = -8.661
- ΔE to the lowest computed polymorph (meV per atom) = 0

=====

Number 1: total magnetization 0.00 μB per formula unit. Number 2: total magnetization 0.00 μB per formula unit. Number 3: total magnetization 0.00 μB per formula unit. Number 4: total magnetization 0.00 μB per formula unit. Number 5: total magnetization 0.00 μB per formula unit. Number 6: total magnetization 0.00 μB per formula unit. Number 7: total magnetization 0.00 μB per formula unit. Number 8: total magnetization 0.00 μB per formula unit.